Record 1
# GGA-PBE Pd2CI, optimized geometry
# Total energy = -74.772 eV per cell
# ρ = 7.27 Mg/m³
# E_form (uncorrected) = 0.617 eV per atom
data_Pd2CI
_cell_length_a 5.4736
_cell_length_b 5.4736
_cell_length_c 10.7215
_cell_angle_alpha 90.00
_cell_angle_beta 90.00
_cell_angle_gamma 90.00
_space_group_name_H-M_alt 'I -4 2 d'
_space_group_IT_number 122
_space_group_name_Hall 'I -4 2bw'
loop_
_atom_site_label
_atom_site_type_symbol
_atom_site_fract_x
_atom_site_fract_y
_atom_site_fract_z
_atom_site_occupancy
Pd1 Pd 0.1157 0.2500 0.1250 1
C1 C 0.0000 0.0000 0.0000 1
I1 I 0.0000 0.0000 0.5000 1


Record 2
# GGA-PBE CuBiPbS3, optimized geometry
# Total energy = -52.334 eV per cell
# ρ = 6.66 Mg/m³
# E_form (uncorrected) = -0.350 eV per atom
data_CuBiPbS3
_cell_length_a 8.4710
_cell_length_b 3.9872
_cell_length_c 8.6880
_cell_angle_alpha 90.00
_cell_angle_beta 101.72
_cell_angle_gamma 90.00
_space_group_name_H-M_alt 'P 1 21/m 1'
_space_group_IT_number 11
loop_
_space_group_symop_operation_xyz
'x,y,z'
'-x,-y,-z'
'-x,y+1/2,-z'
'x,-y+1/2,z'
loop_
_atom_site_label
_atom_site_type_symbol
_atom_site_fract_x
_atom_site_fract_y
_atom_site_fract_z
_atom_site_occupancy
Cu1 Cu 0.0802 0.2500 0.0756 1
Bi1 Bi 0.3361 0.7500 0.3351 1
Pb1 Pb 0.1720 0.2500 0.7377 1
S1 S 0.1054 0.2500 0.3598 1
S2 S 0.2100 0.7500 0.0061 1
S3 S 0.4248 0.7500 0.6658 1


Record 3
# GGA-PBE CaRuPt2, optimized geometry
# Total energy = -48.248 eV per cell
# Energy of formation = -0.191 eV per atom
# ρ = 12.81 Mg/m³
data_CaRuPt2
_cell_length_a 9.6463
_cell_length_b 2.8269
_cell_length_c 5.1177
_cell_angle_alpha 90.00
_cell_angle_beta 99.29
_cell_angle_gamma 90.00
_space_group_name_H-M_alt 'C 1 m 1'
_space_group_IT_number 8
loop_
_space_group_symop_operation_xyz
'x,y,z'
'x,-y,z'
'x+1/2,y+1/2,z'
'x+1/2,-y+1/2,z'
loop_
_atom_site_label
_atom_site_type_symbol
_atom_site_fract_x
_atom_site_fract_y
_atom_site_fract_z
_atom_site_occupancy
Ca1 Ca 0.0000 0.0000 0.0000 1
Ru1 Ru 0.2395 0.0000 0.6687 1
Pt1 Pt 0.0011 0.5000 0.5154 1
Pt2 Pt 0.2540 0.5000 0.2276 1